Record 1
Crystalline Th3CSe2 at its relaxed geometry, computed with GGA-PBE.

As for the density of states at the Fermi level: 0.6238 states/eV/atom. For the raw formation energy, the calculation gives -1179.4 meV/atom. As for the polymorph energy (0 for the lowest one): 0.00 eV per formula unit. The electronic total energy is -7.5881 eV/atom.

The structure belongs to space group Immm (No. 71); the cell edges are 3.853, 5.789 and 12.957 Å and the angles 90.00°, 90.00° and 90.00°. The distinct sites, in fractional coordinates, are Th at (0.000, 0.000, 0.000), Th at (0.000, 0.000, 0.367), C at (0.000, 0.500, 0.000) and Se at (0.000, 0.500, 0.322).

Record 2
Crystalline ErIn2P2Pt7 at its relaxed geometry, computed with GGA-PBE.

As for the density of states at the Fermi level: 0.3532 states/eV/atom. The calculation puts the energy relative to the elements at -675 meV/atom. The electronic total energy is -5.9367 eV/atom.

The structure belongs to space group C2/m (No. 12); the cell edges are 5.572, 5.573 and 15.286 Å and the angles 90.00°, 100.39° and 90.00°. The distinct sites, in fractional coordinates, are Er at (0.000, 0.000, 0.000), In at (0.212, 0.000, 0.426), P at (0.116, 0.500, 0.235), Pt at (0.000, 0.500, 0.000), Pt at (0.178, 0.250, 0.854) and Pt at (0.192, 0.500, 0.386).

Record 3
Crystalline RbPdI2O at its relaxed geometry, computed with GGA-PBE.

As for the density of states at the Fermi level: 1.8455 states/eV/atom. For the raw formation energy, the calculation gives 730.7 meV/atom. As for the polymorph energy (0 for the lowest one): 6.35 eV per formula unit. The electronic total energy is -2.1131 eV/atom.

The structure belongs to space group P4/mmm (No. 123); the cell edges are 6.689, 6.689 and 4.174 Å and the angles 90.00°, 90.00° and 90.00°. The distinct sites, in fractional coordinates, are Rb at (0.000, 0.000, 0.000), Pd at (0.500, 0.500, 0.500), I at (0.000, 0.500, 0.000) and O at (0.000, 0.000, 0.500).

Record 4
Crystalline Ac2Ho4Er5 at its relaxed geometry, computed with GGA-PBE.

As for the density of states at the Fermi level: 1.4071 states/eV/atom. The calculation puts the energy relative to the elements at 52 meV/atom. The electronic total energy is -4.4338 eV/atom.

The structure belongs to space group P-1 (No. 2); the cell edges are 3.632, 8.795 and 11.893 Å and the angles 104.97°, 98.77° and 90.04°. The distinct sites, in fractional coordinates, are Ac at (0.091, 0.227, 0.182), Ho at (0.183, 0.953, 0.366), Ho at (0.451, 0.146, 0.902), Er at (0.000, 0.500, 0.000), Er at (0.270, 0.681, 0.540) and Er at (0.362, 0.403, 0.724).

Record 5
Crystalline Mg2AlTe at its relaxed geometry, computed with GGA-PBE.

As for the density of states at the Fermi level: 0.4039 states/eV/atom. For the raw formation energy, the calculation gives -67.8 meV/atom. As for the polymorph energy (0 for the lowest one): 0.29 eV per formula unit. The electronic total energy is -2.5861 eV/atom.

The structure belongs to space group I-42d (No. 122); the cell edges are 7.928, 7.928 and 6.426 Å and the angles 90.00°, 90.00° and 90.00°. The distinct sites, in fractional coordinates, are Mg at (0.245, 0.750, 0.125), Al at (0.000, 0.000, 0.500) and Te at (0.000, 0.000, 0.000).

Record 6
Crystalline AlAs3Pd at its relaxed geometry, computed with GGA-PBE.

As for the density of states at the Fermi level: 0.8351 states/eV/atom. The calculation puts the energy relative to the elements at 631 meV/atom. The electronic total energy is -3.9460 eV/atom.

The structure belongs to space group Pm-3m (No. 221); the cell edges are 4.890, 4.890 and 4.890 Å and the angles 90.00°, 90.00° and 90.00°. The distinct sites, in fractional coordinates, are Al at (0.000, 0.000, 0.000), As at (0.000, 0.500, 0.500) and Pd at (0.500, 0.500, 0.500).

Record 7
Crystalline Ac2Zn3Cu at its relaxed geometry, computed with GGA-PBE.

As for the density of states at the Fermi level: 0.7746 states/eV/atom. As for the polymorph energy (0 for the lowest one): 0.02 eV per formula unit. The calculation puts the energy relative to the elements at -263 meV/atom. The electronic total energy is -2.9517 eV/atom.

The structure belongs to space group Fmmm (No. 69); the cell edges are 7.928, 9.298 and 16.077 Å and the angles 90.00°, 90.00° and 90.00°. The distinct sites, in fractional coordinates, are Ac at (0.246, 0.000, 0.000), Ac at (0.250, 0.250, 0.250), Zn at (0.000, 0.000, 0.332), Zn at (0.000, 0.248, 0.084) and Cu at (0.000, 0.000, 0.167).

Record 8
Crystalline Li2Y3Au3 at its relaxed geometry, computed with GGA-PBE.

As for the density of states at the Fermi level: 0.6945 states/eV/atom. The calculation puts the energy relative to the elements at -662 meV/atom. The electronic total energy is -4.7936 eV/atom.

The structure belongs to space group P6_3/mcm (No. 193); the cell edges are 8.5929, 8.5929 and 5.6123 Å and the angles 90.00°, 90.00° and 120.00°. The distinct sites, in fractional coordinates, are Li at (0.3333, 0.6667, 0.0000), Y at (0.0000, 0.2552, 0.2500) and Au at (0.0000, 0.3962, 0.7500).